1 | A geometry-optimized SrMnTc2 structure. Source: Alexandria, functional PBE-GGA.

Cell and atoms, written as extended XYZ:
```
4
Lattice="3.9350 0.0000 0.0000 0.0000 3.9350 0.0000 0.0000 0.0000 4.7882" Properties=species:S:1:pos:R:3 pbc="T T T"
Sr 0.0000 0.0000 0.0000
Mn 1.9675 1.9675 0.0000
Tc 0.0000 1.9675 2.3941
Tc 1.9675 0.0000 2.3941
```

Values from the calculation:
M_tot = 4.33 μB/f.u.

***

2 | A geometry-optimized SrMnTc2 structure. Source: Alexandria, functional PBE-GGA.

Cell and atoms, written as extended XYZ:
```
4
Lattice="0.0000 3.1963 3.1963 3.1963 0.0000 3.1963 3.1963 3.1963 0.0000" Properties=species:S:1:pos:R:3 pbc="T T T"
Sr 0.0000 0.0000 0.0000
Mn 3.1963 3.1963 3.1963
Tc 1.5981 1.5981 1.5981
Tc 4.7944 4.7944 4.7944
```

Values from the calculation:
M_tot = 0.00 μB/f.u.

***

Most stable pick: 1. Distance to second place: 2.8 kJ/mol of atoms.

***

1 | A geometry-optimized GaH2O structure. Source: Alexandria, functional PBE-GGA.

Cell and atoms, written as extended XYZ:
```
4
Lattice="0.0000 2.4679 2.4679 2.4679 0.0000 2.4679 2.4679 2.4679 0.0000" Properties=species:S:1:pos:R:3 pbc="T T T"
Ga 0.0000 0.0000 0.0000
H 1.2339 1.2339 1.2339
H 3.7018 3.7018 3.7018
O 2.4679 2.4679 2.4679
```

Values from the calculation:
M_tot = 0.49 μB/f.u.

***

2 | A geometry-optimized GaH2O structure. Source: Alexandria, functional PBE-GGA.

Cell and atoms, written as extended XYZ:
```
4
Lattice="3.1202 0.0000 0.0000 1.5584 2.7037 0.0000 0.5856 0.8633 7.7765" Properties=species:S:1:pos:R:3 pbc="T T T"
Ga 0.0000 0.0000 0.0000
H 2.2905 2.6636 4.1523
H 2.6434 2.3231 3.5836
O 3.1185 1.8018 0.7028
```

Values from the calculation:
M_tot = 0.00 μB/f.u.

***

Most stable pick: 2. Distance to second place: 114.8 kJ/mol of atoms.